1.
First-principles (PBE) data for Sc2HgBr after structural relaxation, as listed in the Alexandria database.

a b c (Å): 6.3099 6.3099 6.3099
angles (deg): 142.24 142.24 54.47
Closest atoms and distances in Å follow each position.
Element x y z (fractional)
Br  0.5000  0.5000  0.0000  4 Sc 2.89
Hg  0.7500  0.2500  0.5000  4 Sc 2.89
Sc  0.0000  0.0000  0.0000  4 Br 2.89
Sc  0.2500  0.7500  0.5000  4 Hg 2.89

**V**: 23.4 A^3/atom
**Magnetic moment**: 0.0030 μB per atom
**Space group**: No. 119
**E_form (uncorrected)**: -1.19 eV per formula unit

2.
First-principles (PBE) data for Ac3Sn2Au4 after structural relaxation, as listed in the Alexandria database.

a b c (Å): 4.8290 6.3856 9.4334
angles (deg): 110.13 90.00 112.22
Closest atoms and distances in Å follow each position.
Element x y z (fractional)
Ac  0.6483  0.2965  0.6826  8 Au 3.30-3.66, 4 Sn 3.44-3.56
Ac  0.0000  0.0000  0.0000  8 Au 3.43-3.65, 4 Sn 3.61
Ac  0.3517  0.7035  0.3174  8 Au 3.30-3.66, 4 Sn 3.44-3.56
Sn  0.6369  0.2738  0.2999  3 Au 2.81-2.82
Sn  0.3631  0.7262  0.7001  3 Au 2.81-2.82
Au  0.7179  0.4358  0.0548  1 Sn 2.81, 2 Au 2.84
Au  0.2821  0.5642  0.9452  1 Sn 2.81, 2 Au 2.84
Au  0.9209  0.8418  0.5871  2 Sn 2.82, 1 Au 2.91
Au  0.0791  0.1582  0.4129  2 Sn 2.82, 1 Au 2.91

**V**: 27.8 A^3/atom
**Energy of formation from the pure elements**: -0.81 eV/atom
**Magnetic moment**: 0.0000 μB per atom
**Space group**: No. 12

3.
First-principles (PBE) data for Co2CuPdN after structural relaxation, as listed in the Alexandria database.

a b c (Å): 3.7106 3.7106 4.2145
angles (deg): 90.00 90.00 90.00
Closest atoms and distances in Å follow each position.
Element x y z (fractional)
Co  0.0000  0.5000  0.0000  2 N 1.86
Co  0.5000  0.0000  0.0000  2 N 1.86
Cu  0.5000  0.5000  0.5000  4 Pd 2.62, 8 Co 2.81
Pd  0.0000  0.0000  0.5000  2 N 2.11
N  0.0000  0.0000  0.0000  4 Co 1.86

**V**: 11.6 A^3/atom
**Magnetic moment**: 0.5322 μB per atom
**Space group**: No. 123
**E_form (uncorrected)**: 0.69 eV per formula unit

4.
First-principles (PBE) data for CsPuGe2Br8 after structural relaxation, as listed in the Alexandria database.

a b c (Å): 7.3293 6.8054 10.3520
angles (deg): 91.75 85.62 83.64
Closest atoms and distances in Å follow each position.
Element x y z (fractional)
Cs  0.0000  0.0000  0.5000  6 Br 3.65-3.76
Pu  0.0000  0.0000  0.0000  6 Br 2.84-2.94
Ge  0.4523  0.4433  0.7961  2 Br 2.45-2.60
Ge  0.5477  0.5567  0.2039  2 Br 2.45-2.60
Br  0.1753  0.7647  0.1871  1 Pu 2.84, 1 Ge 2.95
Br  0.6835  0.7694  0.0243  1 Ge 2.60
Br  0.8595  0.2766  0.2114  1 Ge 2.82, 1 Pu 2.89
Br  0.8247  0.2353  0.8129  1 Pu 2.84, 1 Ge 2.95
Br  0.3165  0.2306  0.9757  1 Ge 2.60
Br  0.1405  0.7234  0.7886  1 Ge 2.82, 1 Pu 2.89
Br  0.6006  0.7462  0.3997  1 Ge 2.45
Br  0.3994  0.2538  0.6003  1 Ge 2.45

**V**: 42.6 A^3/atom
**Magnetic moment**: 0.4167 μB per atom
**Space group**: No. 2
**E_form (uncorrected)**: -12.73 eV per formula unit

5.
First-principles (PBE) data for ThAl2Bi after structural relaxation, as listed in the Alexandria database.

a b c (Å): 4.5603 4.6528 4.6528
angles (deg): 90.00 90.00 90.00
Closest atoms and distances in Å follow each position.
Element x y z (fractional)
Bi  0.5000  0.5000  0.5000  8 Al 3.26, 4 Th 3.29
Th  0.5000  0.0000  0.0000  8 Al 3.26, 4 Bi 3.29
Al  0.0000  0.0000  0.5000  4 Bi 3.26, 4 Th 3.26, 4 Al 3.29
Al  0.0000  0.5000  0.0000  4 Bi 3.26, 4 Th 3.26, 4 Al 3.29

**V**: 24.7 A^3/atom
**Energy of formation from the pure elements**: -0.24 eV/atom
**Magnetic moment**: 0.0000 μB per atom
**Space group**: No. 123

6.
First-principles (PBE) data for SrIn2BiO6 after structural relaxation, as listed in the Alexandria database.

a b c (Å): 5.8502 5.8502 6.0506
angles (deg): 61.09 61.09 60.00
Closest atoms and distances in Å follow each position.
Element x y z (fractional)
Sr  0.7902  0.7902  0.6294  6 O 2.47-2.68
In  0.5231  0.5231  0.4306  6 O 2.17-2.28
In  0.0178  0.0178  0.9467  6 O 2.16-2.27
Bi  0.3107  0.3107  0.0678  6 O 2.26-2.32
O  0.6364  0.2413  0.2284  2 In 2.17-2.27, 1 Bi 2.32
O  0.2413  0.8939  0.2284  2 In 2.17-2.27, 1 Bi 2.32
O  0.8939  0.6364  0.2285  2 In 2.17-2.27, 1 Bi 2.32
O  0.3574  0.7168  0.7518  2 In 2.16-2.28, 1 Bi 2.26
O  0.7168  0.1739  0.7518  2 In 2.16-2.28, 1 Bi 2.26
O  0.1739  0.3575  0.7518  2 In 2.16-2.28, 1 Bi 2.26

**V**: 14.9 A^3/atom
**Magnetic moment**: 0.0794 μB per atom
**Space group**: No. 146
**E_form (uncorrected)**: -16.55 eV per formula unit

7.
First-principles (PBE) data for Sc2ReW after structural relaxation, as listed in the Alexandria database.

a b c (Å): 5.5407 5.5407 5.5407
angles (deg): 145.70 131.62 60.64
Closest atoms and distances in Å follow each position.
Element x y z (fractional)
Re  0.2500  0.7500  0.5000  4 Sc 2.74, 4 W 2.80
Sc  0.0197  0.0197  0.0000  2 Re 2.74, 4 Sc 2.82, 2 W 3.05
Sc  0.4803  0.4803  0.0000  2 Re 2.74, 4 Sc 2.82, 2 W 3.05
W  0.7500  0.2500  0.5000  4 Re 2.80, 4 Sc 3.05

**V**: 17.7 A^3/atom
**Energy of formation from the pure elements**: 0.13 eV/atom
**Magnetic moment**: 0.0002 μB per atom
**Space group**: No. 71

8.
First-principles (PBE) data for Th3SnN3 after structural relaxation, as listed in the Alexandria database.

a b c (Å): 4.0051 7.4744 10.9111
angles (deg): 83.17 79.42 74.46
Closest atoms and distances in Å follow each position.
Element x y z (fractional)
Th  0.1254  0.1837  0.5655  4 N 2.34-2.61
Th  0.8746  0.8163  0.4345  4 N 2.34-2.61
Th  0.3475  0.1038  0.2012  4 N 2.30-2.46
Th  0.6525  0.8962  0.7988  4 N 2.30-2.46
Th  0.8729  0.3561  0.8980  4 N 2.36-2.52
Th  0.1271  0.6439  0.1020  4 N 2.36-2.52
Sn  0.3920  0.5558  0.6602  8 Th 3.47-3.57, 1 Sn 3.59
Sn  0.6080  0.4442  0.3398  8 Th 3.47-3.57, 1 Sn 3.59
N  0.3068  0.9812  0.4052  4 Th 2.30-2.34
N  0.6932  0.0188  0.5948  4 Th 2.30-2.34
N  0.3282  0.3271  0.0166  4 Th 2.37-2.52
N  0.6718  0.6729  0.9834  4 Th 2.37-2.52
N  0.9364  0.9292  0.1980  4 Th 2.36-2.61
N  0.0636  0.0708  0.8020  4 Th 2.36-2.61

**V**: 22.0 A^3/atom
**Magnetic moment**: 0.0000 μB per atom
**Space group**: No. 12
**E_form (uncorrected)**: -10.05 eV per formula unit